1.
Material: KLiTe2
Method: DFT, PBE-GGA
State: optimized geometry

Properties
- formation energy (no corrections) (eV/f.u.) = -2.57
- total magnetic moment (μB per formula unit) = 0.00
- excess energy over the best structure of this formula in the dataset (meV per atom) = 150

```
8
Lattice="13.424 0.000 0.000 0.000 3.201 0.000 -0.817 0.000 6.353" Properties=species:S:1:pos:R:3 pbc="T T T"
K 0.000 0.000 0.000
K 6.712 1.601 0.000
Li 3.939 1.601 2.488
Li 10.651 0.000 2.488
Te 3.479 0.000 0.174
Te 6.227 0.000 3.187
Te 10.191 1.601 0.174
Te 12.939 1.601 3.187
```

---

2.
Material: KLi4Te
Method: DFT, PBE-GGA
State: optimized geometry

Properties
- formation energy (no corrections) (eV/f.u.) = -1.35
- total magnetic moment (μB per formula unit) = 1.00

```
6
Lattice="0.000 4.224 4.224 4.224 0.000 4.224 4.224 4.224 0.000" Properties=species:S:1:pos:R:3 pbc="T T T"
K 0.000 0.000 0.000
Li 5.276 3.172 3.172
Li 3.172 5.276 3.172
Li 3.172 3.172 5.276
Li 5.276 5.276 5.276
Te 2.112 2.112 2.112
```

---

3.
Material: K3LiTh3Te8
Method: DFT, PBE-GGA
State: optimized geometry

Properties
- formation energy (no corrections) (eV/f.u.) = -17.56
- total magnetic moment (μB per formula unit) = 0.00

```
15
Lattice="4.564 2.635 8.302 -4.564 2.635 8.302 0.000 -5.270 8.302" Properties=species:S:1:pos:R:3 pbc="T T T"
K -2.282 -1.317 8.302
K -2.282 1.317 16.603
K 0.000 2.635 8.302
Li 0.000 0.000 12.453
Th -4.564 0.000 12.453
Th -2.282 1.317 4.151
Th 2.282 1.317 4.151
Te -2.326 -1.343 14.152
Te 0.000 0.000 5.964
Te 0.000 -2.686 10.753
Te -2.326 1.343 10.753
Te 2.326 -1.343 14.152
Te 0.000 2.686 14.152
Te 0.000 0.000 18.941
Te 2.326 1.343 10.753
```

---

4.
Material: KLiThTe3
Method: DFT, PBE-GGA
State: optimized geometry

Properties
- formation energy (no corrections) (eV/f.u.) = -7.12
- total magnetic moment (μB per formula unit) = 0.00

```
12
Lattice="9.824 0.000 0.000 0.000 4.602 0.000 -2.760 0.000 9.864" Properties=species:S:1:pos:R:3 pbc="T T T"
K 1.259 1.150 2.470
K 5.804 3.451 7.394
Li -0.837 1.150 5.836
Li 7.900 3.451 4.028
Th 0.830 3.451 8.275
Th 6.234 1.150 1.589
Te -1.264 1.150 8.610
Te 0.619 3.451 5.231
Te 4.029 3.451 1.608
Te 3.035 1.150 8.256
Te 6.444 1.150 4.633
Te 8.328 3.451 1.254
```

---

5.
Material: KLi3Th2Te6
Method: DFT, PBE-GGA
State: optimized geometry

Properties
- formation energy (no corrections) (eV/f.u.) = -13.16
- total magnetic moment (μB per formula unit) = 0.00

```
12
Lattice="9.207 -2.272 0.000 9.207 2.272 0.000 -1.757 0.000 9.943" Properties=species:S:1:pos:R:3 pbc="T T T"
K 0.000 0.000 0.000
Li -0.878 0.000 4.971
Li 5.859 0.000 2.649
Li 10.798 0.000 7.294
Th 5.060 0.000 6.680
Th 11.598 0.000 3.263
Te 2.033 0.000 5.525
Te 3.314 0.000 1.362
Te 8.656 0.000 2.754
Te 8.002 0.000 7.189
Te 13.344 0.000 8.581
Te 14.625 0.000 4.418
```

---

6.
Material: KLiTh2Te4
Method: DFT, PBE-GGA
State: optimized geometry

Properties
- formation energy (no corrections) (eV/f.u.) = -8.96
- total magnetic moment (μB per formula unit) = 0.00

```
16
Lattice="2.260 -7.536 0.000 2.260 7.536 0.000 0.000 0.000 15.969" Properties=species:S:1:pos:R:3 pbc="T T T"
K 2.260 5.838 11.977
K 2.260 -5.838 3.992
Li 2.260 5.119 3.992
Li 2.260 -5.119 11.977
Th 2.260 1.938 8.941
Th 2.260 1.938 15.012
Th 2.260 -1.938 0.957
Th 2.260 -1.938 7.028
Te 0.000 0.000 0.000
Te 0.000 0.000 7.984
Te 2.260 3.459 1.813
Te 2.260 3.459 6.172
Te 2.260 0.955 11.977
Te 2.260 -0.955 3.992
Te 2.260 -3.459 9.797
Te 2.260 -3.459 14.156
```

---

What volume values result from the calculations? In sequence: 34.1; 25.1; 39.9; 37.2; 34.7; 34.0 A^3/atom.
What electronic total energy values result from the calculations? In sequence: -2.97; -2.21; -4.68; -4.50; -4.47; -4.92 eV per atom.